DFT (PBE) results for a geometry-optimized Hf2VGeH structure.

mass density: 11.025 g cm⁻³
calculated total energy: -38.56 eV for the cell shown
density of states at the Fermi level: 1.43 states/eV/f.u.

Cell: 4.4542 4.4542 3.6559 Å, 90.00 90.00 90.00°
Fractional coordinates of all 5 atoms:
H 0.0000 0.0000 0.0000
Ge 0.5000 0.5000 0.5000
Hf 0.0000 0.5000 0.0000
Hf 0.5000 0.0000 0.0000
V 0.0000 0.0000 0.5000

DFT (PBE) results for a geometry-optimized LiLaAg2 structure.

energy relative to the elements: -0.098 eV/atom
mass density: 6.651 g cm⁻³
calculated total energy: -12.93 eV for the cell shown
density of states at the Fermi level: 2.59 states/eV/f.u.

Cell: 3.5555 3.5555 7.1408 Å, 90.00 90.00 90.00°
Fractional coordinates of all 4 atoms:
Ag 0.0000 0.0000 0.9870
Ag 0.5000 0.5000 0.2011
La 0.0000 0.0000 0.4828
Li 0.5000 0.5000 0.8291

DFT (PBE) results for a geometry-optimized AlZn7Ga12 structure.

energy relative to the elements: 0.059 eV/atom
mass density: 6.139 g cm⁻³
calculated total energy: -47.79 eV for the cell shown
density of states at the Fermi level: 7.02 states/eV/f.u.

Cell: 7.5247 7.5247 7.5247 Å, 106.73 106.73 106.73°
Fractional coordinates of all 20 atoms:
Al 0.0000 0.0000 0.0000
Zn 0.3112 0.8903 0.9390
Zn 0.0610 0.6888 0.1097
Zn 0.1097 0.0610 0.6888
Zn 0.5000 0.5000 0.5000
Zn 0.8903 0.9390 0.3112
Zn 0.9390 0.3112 0.8903
Zn 0.6888 0.1097 0.0610
Ga 0.7255 0.2108 0.4576
Ga 0.5424 0.2745 0.7892
Ga 0.9148 0.6294 0.6932
Ga 0.3068 0.0852 0.3706
Ga 0.7892 0.5424 0.2745
Ga 0.3706 0.3068 0.0852
Ga 0.6294 0.6932 0.9148
Ga 0.2108 0.4576 0.7255
Ga 0.6932 0.9148 0.6294
Ga 0.0852 0.3706 0.3068
Ga 0.4576 0.7255 0.2108
Ga 0.2745 0.7892 0.5424

DFT (PBE) results for a geometry-optimized Ca2MgCr structure.

energy relative to the elements: 0.308 eV/atom
mass density: 2.214 g cm⁻³
calculated total energy: -13.99 eV for the cell shown
density of states at the Fermi level: 3.46 states/eV/f.u.

Cell: 3.7459 3.7459 8.3609 Å, 90.00 90.00 90.00°
Fractional coordinates of all 4 atoms:
Ca 0.0000 0.0000 0.9558
Ca 0.5000 0.5000 0.3027
Cr 0.0000 0.0000 0.5433
Mg 0.5000 0.5000 0.6982

DFT (PBE) results for a geometry-optimized CsNpS2 structure.

formation energy without anion corrections: -5.07 eV per formula unit
mass density: 5.637 g cm⁻³
calculated total energy: -27.12 eV for the cell shown
density of states at the Fermi level: 11.73 states/eV/f.u.

Cell: 4.1441 4.1440 8.5974 Å, 90.05 90.07 60.00°
Fractional coordinates of all 4 atoms:
Cs 0.5326 0.5324 0.7780
Np 0.1986 0.1987 0.3256
S 0.5316 0.5318 0.1678
S 0.8655 0.8655 0.5005

DFT (PBE) results for a geometry-optimized LiHF3 structure.

energy above the most stable polymorph in this dataset: 1020 meV per atom
mass density: 2.045 g cm⁻³
calculated total energy: -14.03 eV for the cell shown
density of states at the Fermi level: 5.57 states/eV/f.u.

Cell: 3.7498 3.7498 3.7498 Å, 90.00 90.00 90.00°
Fractional coordinates of all 5 atoms:
H 0.5000 0.5000 0.5000
Li 0.0000 0.0000 0.0000
F 0.0000 0.5000 0.0000
F 0.0000 0.0000 0.5000
F 0.5000 0.0000 0.0000

DFT (PBE) results for a geometry-optimized La6Ru3Pb structure.

energy relative to the elements: -0.306 eV/atom
mass density: 7.387 g cm⁻³
calculated total energy: -128.32 eV for the cell shown
density of states at the Fermi level: 8.06 states/eV/f.u.

Cell: 4.1975 11.9852 12.5779 Å, 107.30 90.00 90.00°
Fractional coordinates of all 20 atoms:
La 0.7500 0.4786 0.6123
La 0.2500 0.5214 0.3877
La 0.7500 0.9246 0.0854
La 0.2500 0.0754 0.9146
La 0.7500 0.3886 0.0494
La 0.2500 0.6114 0.9506
La 0.7500 0.6986 0.2574
La 0.2500 0.3014 0.7426
La 0.7500 0.1542 0.4683
La 0.2500 0.8458 0.5317
La 0.7500 0.7843 0.7681
La 0.2500 0.2157 0.2319
Ru 0.7500 0.4685 0.8304
Ru 0.2500 0.5315 0.1696
Ru 0.7500 0.6807 0.4988
Ru 0.2500 0.3193 0.5012
Ru 0.7500 0.1606 0.0902
Ru 0.2500 0.8394 0.9098
Pb 0.7500 0.0545 0.6958
Pb 0.2500 0.9455 0.3042

DFT (PBE) results for a geometry-optimized Sr2PtSe structure.

formation energy without anion corrections: -4.10 eV per formula unit
mass density: 4.569 g cm⁻³
calculated total energy: -33.99 eV for the cell shown
density of states at the Fermi level: 0.00 states/eV/f.u.

Cell: 6.9615 6.9615 8.3452 Å, 65.35 65.35 90.00°
Fractional coordinates of all 8 atoms:
Sr 0.6300 0.1250 0.2500
Sr 0.1200 0.6250 0.2500
Sr 0.3750 0.3700 0.7500
Sr 0.8750 0.8800 0.7500
Se 0.5000 0.5000 0.0000
Se 0.2500 0.7500 0.5000
Pt 0.0000 0.0000 0.0000
Pt 0.7500 0.2500 0.5000